# 1
VASP calculation (PBE) on crystalline HfTl at its relaxed geometry.

- energy of formation from the pure elements (meV per atom) = 170
- crystal system = monoclinic
- density (g/cm3) = 13.55
- final energy (eV per atom) = -5.99
- space group = P2_1/m, No. 11

a b c (Å): 3.3875 4.4162 6.3468
angles (deg): 90.00 98.80 90.00
With the nearest neighbours (Å) after each atom.
Atoms (fractional coordinates):
Hf 0.7827 0.7500 0.1235  6 Tl 3.04-3.32, 6 Hf 3.18-3.39
Hf 0.2173 0.2500 0.8765  6 Tl 3.04-3.32, 6 Hf 3.18-3.39
Tl 0.7024 0.7500 0.6391  2 Tl 3.02, 6 Hf 3.04-3.32
Tl 0.2976 0.2500 0.3609  2 Tl 3.02, 6 Hf 3.04-3.32

---

# 2
VASP calculation (PBE) on crystalline TcH2Pt at its relaxed geometry.

- crystal system = tetragonal
- density (g/cm3) = 13.13
- final energy (eV per atom) = -5.56
- relative energy among the computed polymorphs (eV per atom) = 0.000
- space group = I-42d, No. 122

a b c (Å): 4.1846 4.1846 5.1900
angles (deg): 66.23 66.23 90.00
With the nearest neighbours (Å) after each atom.
Atoms (fractional coordinates):
Tc 0.2500 0.7500 0.5000  4 H 1.82
Tc 0.5000 0.5000 0.0000  4 H 1.82
H 0.8750 0.8753 0.7500  2 Pt 1.82, 2 Tc 1.82
H 0.6253 0.1250 0.2500  2 Pt 1.82, 2 Tc 1.82
H 0.1247 0.6250 0.2500  2 Pt 1.82, 2 Tc 1.82
H 0.3750 0.3747 0.7500  2 Pt 1.82, 2 Tc 1.82
Pt 0.7500 0.2500 0.5000  4 H 1.82
Pt 0.0000 0.0000 0.0000  4 H 1.82

---

# 3
VASP calculation (PBE) on crystalline PaNb2Tl2Se6 at its relaxed geometry.

- formation energy from raw total energies (eV/atom) = -0.849
- crystal system = monoclinic
- density (g/cm3) = 7.10
- final energy (eV per atom) = -5.87
- space group = C2/m, No. 12

a b c (Å): 6.4642 6.4642 8.3644
angles (deg): 95.69 95.69 117.63
With the nearest neighbours (Å) after each atom.
Atoms (fractional coordinates):
Nb 0.6329 0.3671 0.5000  6 Se 2.59-2.85
Nb 0.3671 0.6329 0.5000  6 Se 2.59-2.85
Se 0.2794 0.2794 0.2790  2 Nb 2.59, 1 Pa 2.87
Se 0.5940 0.9534 0.3132  2 Nb 2.68-2.85, 1 Pa 2.79
Se 0.0466 0.4060 0.6868  2 Nb 2.68-2.85, 1 Pa 2.79
Se 0.4060 0.0466 0.6868  2 Nb 2.68-2.85, 1 Pa 2.79
Se 0.9534 0.5940 0.3132  2 Nb 2.68-2.85, 1 Pa 2.79
Se 0.7206 0.7206 0.7210  2 Nb 2.59, 1 Pa 2.87
Pa 0.0000 0.0000 0.5000  6 Se 2.79-2.87
Tl 0.8225 0.1775 0.0000  6 Se 3.27-3.34
Tl 0.1775 0.8225 0.0000  6 Se 3.27-3.34

---

# 4
VASP calculation (PBE) on crystalline Ho12GaCu6 at its relaxed geometry.

- energy of formation from the pure elements (meV per atom) = -206
- crystal system = cubic
- density (g/cm3) = 8.71
- final energy (eV per atom) = -4.55
- space group = Im-3, No. 204

a b c (Å): 8.4444 8.4444 8.4444
angles (deg): 109.47 109.47 109.47
With the nearest neighbours (Å) after each atom.
Atoms (fractional coordinates):
Ho 0.7054 0.5174 0.8121  3 Cu 2.71-2.98
Ho 0.8121 0.7054 0.5174  3 Cu 2.71-2.98
Ho 0.8121 0.2946 0.1067  3 Cu 2.71-2.98
Ho 0.1879 0.7054 0.8933  3 Cu 2.71-2.98
Ho 0.8933 0.1879 0.7054  3 Cu 2.71-2.98
Ho 0.4826 0.1879 0.2946  3 Cu 2.71-2.98
Ho 0.5174 0.8121 0.7054  3 Cu 2.71-2.98
Ho 0.2946 0.1067 0.8121  3 Cu 2.71-2.98
Ho 0.1067 0.8121 0.2946  3 Cu 2.71-2.98
Ho 0.2946 0.4826 0.1879  3 Cu 2.71-2.98
Ho 0.7054 0.8933 0.1879  3 Cu 2.71-2.98
Ho 0.1879 0.2946 0.4826  3 Cu 2.71-2.98
Ga 0.0000 0.0000 0.0000  12 Ho 3.41
Cu 0.6252 0.5000 0.1252  1 Cu 2.44, 2 Ho 2.71
Cu 0.8748 0.3748 0.5000  1 Cu 2.44, 2 Ho 2.71
Cu 0.3748 0.5000 0.8748  1 Cu 2.44, 2 Ho 2.71
Cu 0.1252 0.6252 0.5000  1 Cu 2.44, 2 Ho 2.71
Cu 0.5000 0.1252 0.6252  1 Cu 2.44, 2 Ho 2.71
Cu 0.5000 0.8748 0.3748  1 Cu 2.44, 2 Ho 2.71

---

# 5
VASP calculation (PBE) on crystalline AcDyUO6 at its relaxed geometry.

- formation energy from raw total energies (eV/atom) = -3.392
- crystal system = trigonal
- density (g/cm3) = 7.85
- final energy (eV per atom) = -8.92
- space group = P-31c, No. 163

a b c (Å): 5.8694 5.8694 10.2623
angles (deg): 90.00 90.00 120.00
With the nearest neighbours (Å) after each atom.
Atoms (fractional coordinates):
O 0.3491 0.3715 0.8585  1 U 2.10, 1 Dy 2.28
O 0.6285 0.9776 0.8585  1 U 2.10, 1 Dy 2.28
O 0.6285 0.6509 0.6415  1 U 2.10, 1 Dy 2.28
O 0.9776 0.6285 0.3585  1 U 2.10, 1 Dy 2.28
O 0.0224 0.3715 0.6415  1 U 2.10, 1 Dy 2.28
O 0.9776 0.3491 0.1415  1 U 2.10, 1 Dy 2.28
O 0.6509 0.6285 0.1415  1 U 2.10, 1 Dy 2.28
O 0.3491 0.9776 0.6415  1 U 2.10, 1 Dy 2.28
O 0.0224 0.6509 0.8585  1 U 2.10, 1 Dy 2.28
O 0.3715 0.0224 0.1415  1 U 2.10, 1 Dy 2.28
O 0.6509 0.0224 0.3585  1 U 2.10, 1 Dy 2.28
O 0.3715 0.3491 0.3585  1 U 2.10, 1 Dy 2.28
Ac 0.0000 0.0000 0.5000  6 O 2.57
Ac 0.0000 0.0000 0.0000  6 O 2.57
U 0.6667 0.3333 0.2500  6 O 2.10
U 0.3333 0.6667 0.7500  6 O 2.10
Dy 0.6667 0.3333 0.7500  6 O 2.28
Dy 0.3333 0.6667 0.2500  6 O 2.28

---

# 6
VASP calculation (PBE) on crystalline Hf2CoRh at its relaxed geometry.

- energy of formation from the pure elements (meV per atom) = -628
- crystal system = tetragonal
- density (g/cm3) = 13.01
- final energy (eV per atom) = -9.22
- space group = P4/mmm, No. 123

a b c (Å): 3.2207 3.2207 6.3858
angles (deg): 90.00 90.00 90.00
With the nearest neighbours (Å) after each atom.
Atoms (fractional coordinates):
Rh 0.5000 0.5000 0.5000  8 Hf 2.82
Hf 0.0000 0.0000 0.2406  4 Co 2.75, 4 Rh 2.82, 1 Hf 3.07
Hf 0.0000 0.0000 0.7594  4 Co 2.75, 4 Rh 2.82, 1 Hf 3.07
Co 0.5000 0.5000 0.0000  8 Hf 2.75

---

# 7
VASP calculation (PBE) on crystalline ScCo4Si2 at its relaxed geometry.

- formation energy from raw total energies (eV/atom) = -0.137
- crystal system = tetragonal
- density (g/cm3) = 5.89
- final energy (eV per atom) = -6.65
- relative energy among the computed polymorphs (eV per atom) = 0.437
- space group = I4/mmm, No. 139

a b c (Å): 3.4326 3.4326 8.4198
angles (deg): 101.76 101.76 90.00
With the nearest neighbours (Å) after each atom.
Atoms (fractional coordinates):
Si 0.6408 0.6408 0.2816  8 Co 2.43-2.46
Si 0.3592 0.3592 0.7184  8 Co 2.43-2.46
Co 0.1439 0.1439 0.2878  1 Sc 2.32, 4 Co 2.42, 4 Si 2.43
Co 0.2500 0.7500 0.5000  8 Co 2.42-2.43, 4 Si 2.46
Co 0.8561 0.8561 0.7122  1 Sc 2.32, 4 Co 2.42, 4 Si 2.43
Co 0.7500 0.2500 0.5000  8 Co 2.42-2.43, 4 Si 2.46
Sc 0.0000 0.0000 0.0000  2 Co 2.32

---

# 8
VASP calculation (PBE) on crystalline Hg2SbOs at its relaxed geometry.

- formation energy from raw total energies (eV/atom) = 0.809
- crystal system = orthorhombic
- density (g/cm3) = 14.38
- final energy (eV per atom) = -3.18
- space group = Pmmm, No. 47

a b c (Å): 3.2450 4.7670 5.3242
angles (deg): 90.00 90.00 90.00
With the nearest neighbours (Å) after each atom.
Atoms (fractional coordinates):
Os 0.5000 0.0000 0.5000  4 Sb 2.88, 4 Hg 3.12
Sb 0.0000 0.5000 0.5000  4 Os 2.88, 4 Hg 3.12
Hg 0.5000 0.5000 0.0000  4 Hg 2.88, 4 Sb 3.12
Hg 0.0000 0.0000 0.0000  4 Hg 2.88, 4 Os 3.12

---

# 9
VASP calculation (PBE) on crystalline TmScCdGa at its relaxed geometry.

- energy of formation from the pure elements (meV per atom) = -449
- crystal system = tetragonal
- density (g/cm3) = 7.49
- final energy (eV per atom) = -4.13
- relative energy among the computed polymorphs (eV per atom) = 0.000
- space group = P4mm, No. 99

a b c (Å): 3.5005 3.5005 7.1631
angles (deg): 90.00 90.00 90.00
With the nearest neighbours (Å) after each atom.
Atoms (fractional coordinates):
Sc 0.0000 0.0000 0.3726  4 Ga 2.93, 4 Cd 3.06
Cd 0.5000 0.5000 0.1226  4 Sc 3.06, 4 Tm 3.20, 1 Ga 3.36
Ga 0.5000 0.5000 0.5923  4 Sc 2.93, 4 Tm 3.05
Tm 0.0000 0.0000 0.8405  4 Ga 3.05, 4 Cd 3.20, 1 Sc 3.35

---

# 10
VASP calculation (PBE) on crystalline Lu2PuRu at its relaxed geometry.

- energy of formation from the pure elements (meV per atom) = -242
- crystal system = tetragonal
- density (g/cm3) = 12.01
- final energy (eV per atom) = -8.40
- relative energy among the computed polymorphs (eV per atom) = 0.000
- space group = P4/mmm, No. 123

a b c (Å): 3.3340 3.3340 8.6452
angles (deg): 90.00 90.00 90.00
With the nearest neighbours (Å) after each atom.
Atoms (fractional coordinates):
Ru 0.5000 0.5000 0.0000  8 Lu 2.86
Lu 0.0000 0.0000 0.1870  4 Ru 2.86
Lu 0.0000 0.0000 0.8130  4 Ru 2.86
Pu 0.5000 0.5000 0.5000  4 Pu 3.33, 8 Lu 3.59

---

# 11
VASP calculation (PBE) on crystalline Ac2SmPt9 at its relaxed geometry.

- energy of formation from the pure elements (meV per atom) = -881
- crystal system = trigonal
- density (g/cm3) = 16.29
- final energy (eV per atom) = -6.49
- space group = R-3m, No. 166

a b c (Å): 5.5215 5.5215 9.6532
angles (deg): 73.38 73.38 60.00
With the nearest neighbours (Å) after each atom.
Atoms (fractional coordinates):
Pt 0.3327 0.3327 0.0018  6 Pt 2.74-2.78
Pt 0.5835 0.5835 0.7531  7 Pt 2.74-2.81
Pt 0.6673 0.6673 0.9982  6 Pt 2.74-2.78
Pt 0.5000 0.5000 0.5000  6 Pt 2.81
Pt 0.5835 0.0798 0.7531  7 Pt 2.74-2.81
Pt 0.0798 0.5835 0.7531  7 Pt 2.74-2.81
Pt 0.4165 0.4165 0.2469  7 Pt 2.74-2.81
Pt 0.4165 0.9202 0.2469  7 Pt 2.74-2.81
Pt 0.9202 0.4165 0.2469  7 Pt 2.74-2.81
Sm 0.0000 0.0000 0.0000  18 Pt 3.19-3.56
Ac 0.8617 0.8617 0.4149  12 Pt 3.16-3.46
Ac 0.1383 0.1383 0.5851  12 Pt 3.16-3.46

---

# 12
VASP calculation (PBE) on crystalline Tc9Pt11Rh4 at its relaxed geometry.

- energy of formation from the pure elements (meV per atom) = 24
- crystal system = orthorhombic
- density (g/cm3) = 15.57
- final energy (eV per atom) = -7.86
- space group = Cmmm, No. 65

a b c (Å): 2.7559 11.9462 11.9462
angles (deg): 111.12 90.00 90.00
With the nearest neighbours (Å) after each atom.
Atoms (fractional coordinates):
Tc 0.5000 0.1818 0.6425  1 Tc 2.37, 1 Rh 2.58, 2 Pt 2.64
Tc 0.5000 0.7850 0.9232  1 Rh 2.67, 3 Tc 2.72-2.76, 8 Pt 2.76-2.84
Tc 0.5000 0.0768 0.2150  1 Rh 2.67, 3 Tc 2.72-2.76, 8 Pt 2.76-2.84
Tc 0.5000 0.3575 0.8182  1 Tc 2.37, 1 Rh 2.58, 2 Pt 2.64
Tc 0.5000 0.2150 0.0768  1 Rh 2.67, 3 Tc 2.72-2.76, 8 Pt 2.76-2.84
Tc 0.5000 0.8182 0.3575  1 Tc 2.37, 1 Rh 2.58, 2 Pt 2.64
Tc 0.5000 0.9232 0.7850  1 Rh 2.67, 3 Tc 2.72-2.76, 8 Pt 2.76-2.84
Tc 0.5000 0.5000 0.5000  2 Tc 2.76, 4 Pt 2.78
Tc 0.5000 0.6425 0.1818  1 Tc 2.37, 1 Rh 2.58, 2 Pt 2.64
Rh 0.5000 0.5552 0.7768  2 Tc 2.58-2.67, 6 Pt 2.64-2.70, 2 Rh 2.76
Rh 0.5000 0.2232 0.4448  2 Tc 2.58-2.67, 6 Pt 2.64-2.70, 2 Rh 2.76
Rh 0.5000 0.4448 0.2232  2 Tc 2.58-2.67, 6 Pt 2.64-2.70, 2 Rh 2.76
Rh 0.5000 0.7768 0.5552  2 Tc 2.58-2.67, 6 Pt 2.64-2.70, 2 Rh 2.76
Pt 0.0000 0.3882 0.0160  4 Tc 2.64-2.79, 2 Rh 2.70, 4 Pt 2.76-2.84
Pt 0.0000 0.6224 0.3776  4 Rh 2.64, 2 Pt 2.76, 6 Tc 2.78-2.80
Pt 0.0000 0.2939 0.2939  4 Rh 2.64, 2 Pt 2.76, 4 Tc 2.78
Pt 0.0000 0.1459 0.8541  5 Pt 2.76-2.87, 8 Tc 2.84-3.04
Pt 0.0000 0.0000 0.0000  4 Pt 2.76-2.87, 8 Tc 2.76
Pt 0.0000 0.8541 0.1459  5 Pt 2.76-2.87, 8 Tc 2.84-3.04
Pt 0.0000 0.0160 0.3882  4 Tc 2.64-2.79, 2 Rh 2.70, 4 Pt 2.76-2.84
Pt 0.0000 0.9840 0.6118  4 Tc 2.64-2.79, 2 Rh 2.70, 4 Pt 2.76-2.84
Pt 0.0000 0.6118 0.9840  4 Tc 2.64-2.79, 2 Rh 2.70, 4 Pt 2.76-2.84
Pt 0.0000 0.3776 0.6224  4 Rh 2.64, 2 Pt 2.76, 6 Tc 2.78-2.80
Pt 0.0000 0.7061 0.7061  4 Rh 2.64, 2 Pt 2.76, 4 Tc 2.78